Below is a relaxed structure of TlTcO3, with properties calculated at the PBE level.

```
data_TlTcO3
_space_group_name_H-M_alt 'P m -3 m'
_space_group_IT_number 221
_space_group_name_Hall '-P 4 2 3'
_cell_length_a 4.180
_cell_length_b 4.180
_cell_length_c 4.180
_cell_angle_alpha 90.00
_cell_angle_beta 90.00
_cell_angle_gamma 90.00
loop_
_atom_site_label
_atom_site_fract_x
_atom_site_fract_y
_atom_site_fract_z
_atom_site_occupancy
Tl1 0.000 0.000 0.000 1
Tc1 0.500 0.500 0.500 1
O1 0.000 0.000 0.500 1
```

Values from the calculation:
Energy relative to the elements, uncorrected (kJ/mol of formula units): 262
Size of the total moment (μB/atom): 0.98


Below is a relaxed structure of Tl2TcO4, with properties calculated at the PBE level.

```
data_Tl2TcO4
_space_group_name_H-M_alt 'I 4/m m m'
_space_group_IT_number 139
_space_group_name_Hall '-I 4 2'
_cell_length_a 3.891
_cell_length_b 3.891
_cell_length_c 15.516
_cell_angle_alpha 90.00
_cell_angle_beta 90.00
_cell_angle_gamma 90.00
loop_
_atom_site_label
_atom_site_fract_x
_atom_site_fract_y
_atom_site_fract_z
_atom_site_occupancy
Tl1 0.000 0.000 0.156 1
Tc1 0.000 0.000 0.500 1
O1 0.000 0.000 0.378 1
O2 0.000 0.500 0.000 1
```

Values from the calculation:
Polymorph energy (0 for the lowest one) (eV/atom): 0.0930
Energy relative to the elements, uncorrected (kJ/mol of formula units): -698
Size of the total moment (μB/atom): 0.09


Below is a relaxed structure of TlTcO3, with properties calculated at the PBE level.

```
data_TlTcO3
_space_group_name_H-M_alt 'P 1'
_space_group_IT_number 1
_space_group_name_Hall 'P 1'
_cell_length_a 4.676
_cell_length_b 4.775
_cell_length_c 8.553
_cell_angle_alpha 98.69
_cell_angle_beta 102.66
_cell_angle_gamma 106.78
loop_
_atom_site_label
_atom_site_fract_x
_atom_site_fract_y
_atom_site_fract_z
_atom_site_occupancy
Tl1 0.000 0.000 0.000 1
Tl2 0.398 0.307 0.686 1
Tc1 0.435 0.878 0.342 1
Tc2 0.966 0.431 0.343 1
O1 0.101 0.575 0.154 1
O2 0.200 0.154 0.343 1
O3 0.300 0.734 0.532 1
O4 0.616 0.087 0.181 1
O5 0.700 0.654 0.343 1
O6 0.785 0.222 0.505 1
```

Values from the calculation:
Energy relative to the elements, uncorrected (kJ/mol of formula units): -573
Size of the total moment (μB/atom): 0.00


What is the size of the total moment in the second record? 0.09 μB/atom


What is the size of the total moment in the third record? 0.00 μB/atom


What is the size of the total moment in the second record? 0.09 μB/atom